Record 1
GGA-PBE AlAsI2N, relaxed; calculated density = 5.262 g/cm3; relative energy among the computed polymorphs = 0 meV/atom; ΔE_f (raw) = 458 meV/atom; uncorrected energy = -17.5 eV for the cell shown; crystal system = tetragonal; M_tot = 0.06 μB/atom
1.0
5.726 0.000 0.000
0.000 5.726 0.000
0.000 0.000 3.558
Al As I N
1 1 2 1
direct
0.000 0.000 0.000
0.500 0.500 0.500
0.000 0.500 0.000
0.500 0.000 0.000
0.000 0.000 0.500


Record 2
GGA-PBE Li2InAg4, relaxed; calculated density = 7.196 g/cm3; energy of formation from the pure elements = -54 meV per atom; relative energy among the computed polymorphs = 48 meV/atom; uncorrected energy = -18.3 eV for the cell shown; crystal system = orthorhombic; M_tot = 0.00 μB/atom
1.0
0.000 4.865 4.883
2.721 0.000 4.883
2.721 4.865 0.000
Li In Ag
2 1 4
direct
0.250 0.250 0.250
0.750 0.750 0.750
0.000 0.000 0.000
0.294 0.294 0.706
0.295 0.705 0.295
0.705 0.295 0.705
0.706 0.706 0.294


Record 3
GGA-PBE DyNpRe4, relaxed; calculated density = 16.927 g/cm3; energy of formation from the pure elements = 37 meV per atom; uncorrected energy = -67.1 eV for the cell shown; crystal system = cubic; M_tot = 0.79 μB/atom
1.0
0.000 3.829 3.829
3.829 0.000 3.829
3.829 3.829 0.000
Dy Np Re
1 1 4
direct
0.000 0.000 0.000
0.750 0.750 0.750
0.375 0.375 0.375
0.375 0.375 0.876
0.375 0.876 0.375
0.876 0.375 0.375


Record 4
GGA-PBE TlCd2In9, relaxed; calculated density = 7.563 g/cm3; energy of formation from the pure elements = 31 meV per atom; uncorrected energy = -28.5 eV for the cell shown; crystal system = tetragonal; M_tot = 0.00 μB/atom
1.0
4.801 0.000 0.000
0.000 4.801 0.000
0.000 0.000 13.931
Tl Cd In
1 2 9
direct
0.000 0.000 0.000
0.000 0.000 0.337
0.000 0.000 0.663
0.000 0.500 0.176
0.000 0.500 0.500
0.000 0.500 0.824
0.500 0.000 0.176
0.500 0.000 0.500
0.500 0.000 0.824
0.500 0.500 0.000
0.500 0.500 0.341
0.500 0.500 0.659


Record 5
GGA-PBE PuVFe2, relaxed; calculated density = 11.238 g/cm3; energy of formation from the pure elements = 136 meV per atom; relative energy among the computed polymorphs = 109 meV/atom; uncorrected energy = -39.8 eV for the cell shown; crystal system = tetragonal; M_tot = 0.70 μB/atom
1.0
4.481 0.000 0.000
0.000 4.481 0.000
0.000 0.000 2.993
Pu V Fe
1 1 2
direct
0.000 0.000 0.000
0.500 0.500 0.000
0.000 0.500 0.500
0.500 0.000 0.500


Record 6
GGA-PBE Co2WSe, relaxed; calculated density = 11.821 g/cm3; ΔE_f (raw) = 394 meV/atom; uncorrected energy = -29.1 eV for the cell shown; crystal system = orthorhombic; M_tot = 0.16 μB/atom
1.0
2.556 -3.690 0.000
2.556 3.690 0.000
0.000 0.000 2.835
Co W Se
2 1 1
direct
0.000 0.500 0.000
0.500 0.000 0.000
0.000 0.000 0.500
0.500 0.500 0.500